No. 1
The following is a GGA-PBE calculation of a relaxed structure of Co2TePb, from the Alexandria database.

Properties
The calculation puts the calculated volume at 21.3 Å³/atom. The offset from the most stable computed form is 342 meV per atom. The formation energy without anion corrections comes out at 466 meV/atom. The calculated total energy is -4.7990 eV per atom.

abc: 4.604 4.604 8.666
angles: 74.60 74.60 90.00
Each line ends with the local moment (μB).
Fractional coordinates of all 8 atoms:
Co 0.875 0.796 0.750  1.04
Pb 0.750 0.250 0.500  -0.04
Pb 0.000 0.000 0.000  -0.04
Te 0.500 0.500 0.000  -0.02
Co 0.375 0.454 0.750  1.05
Co 0.204 0.625 0.250  1.13
Co 0.546 0.125 0.250  1.11
Te 0.250 0.750 0.500  -0.02


No. 2
The following is a GGA-PBE calculation of a relaxed structure of AlB2W, from the Alexandria database.

Properties
The calculation puts the calculated volume at 11.3 Å³/atom. For the energy relative to the elements, the calculation gives 326 meV/atom. The calculated total energy is -7.1864 eV per atom.

abc: 3.291 3.291 5.185
angles: 71.50 71.50 60.00
Fractional coordinates of all 4 atoms:
Al 0.000 0.000 0.000
B 0.246 0.246 0.263
W 0.500 0.500 0.500
B 0.754 0.754 0.737


No. 3
The following is a GGA-PBE calculation of a relaxed structure of Ac2SiO, from the Alexandria database.

Properties
The calculation puts the calculated volume at 22.7 Å³/atom. The offset from the most stable computed form is 559 meV per atom. The formation energy without anion corrections comes out at -1113 meV/atom. The calculated total energy is -5.7629 eV per atom.

abc: 3.469 3.469 7.558
angles: 90.00 90.00 90.00
Fractional coordinates of all 4 atoms:
Ac 0.000 0.000 0.773
Ac 0.000 0.000 0.227
Si 0.500 0.500 0.500
O 0.500 0.500 0.000


> calculated total energy of number 2 (AlB2W)?

-7.1864 eV per atom